1.
DFT (PBE) results for AgRuCl2 after structural relaxation.

Results
Magnetization, μB/cell: 0.0
E above lowest polymorph, eV per atom: 0.2060
Space-group type: Cmmm
Density of states at the Fermi level, states/eV per cell: 2.9

```
4
Lattice="-2.2245 -0.8692 2.0714 2.2080 -1.9543 -1.1402 6.1781 2.4977 7.6829" Properties=species:S:1:pos:R:3 pbc="T T T"
Cl 2.6610 1.0758 3.3091
Ru 1.5363 -0.7873 2.3863
Cl 0.4280 0.1730 0.5323
Ag 4.6253 0.4615 6.2277
```

=====

2.
DFT (PBE) results for AgRu2Cl after structural relaxation.

Results
Magnetization, μB/cell: 0.0
E above lowest polymorph, eV per atom: 0.8042
Space-group type: I-42d
Density of states at the Fermi level, states/eV per cell: 5.6

```
8
Lattice="-4.8652 4.8397 0.2581 -2.7746 -2.4815 -5.7708 -5.4360 -0.5260 -1.2462" Properties=species:S:1:pos:R:3 pbc="T T T"
Cl -3.8199 1.1791 -2.7564
Cl -6.0153 -0.9142 -4.8867
Ag 0.0000 0.0000 0.0000
Ru -4.0313 -0.7492 -3.8686
Ru -10.5736 1.8372 -5.3669
Ru -4.4166 2.2548 -0.8891
Ru -7.1301 0.3215 -3.3934
Ag -7.0605 2.7464 -1.8722
```

=====

3.
DFT (PBE) results for Ag6RuCl12 after structural relaxation.

Results
Magnetization, μB/cell: 1.8
Space-group type: R-3
E, eV for the cell shown: -56.94
Density of states at the Fermi level, states/eV per cell: 9.9

```
19
Lattice="-7.1483 0.9665 3.2505 -0.3278 -7.6881 1.8393 3.2779 1.4326 7.0570" Properties=species:S:1:pos:R:3 pbc="T T T"
Cl 1.7161 -6.3323 6.9140
Cl -1.0486 -0.1867 5.6710
Cl -1.9389 1.7443 9.1675
Ag -1.9846 -4.1542 2.8565
Cl -2.2592 -7.0334 2.9792
Cl -4.0286 -1.6416 7.6789
Cl -5.9142 1.0433 5.2328
Cl -3.6251 -2.2677 3.8744
Ag -5.2741 -3.9412 7.0105
Cl -6.9676 -4.4710 4.7232
Ru 0.0000 0.0000 0.0000
Ag -3.3299 0.1620 4.2710
Cl -0.5730 -3.0214 8.2724
Ag 1.0759 -1.3478 5.1363
Ag -2.2135 -1.1349 9.2902
Ag -0.8682 -5.4511 7.8758
Cl -0.1695 -3.6474 4.4679
Cl 2.7695 -0.8181 7.4236
Cl -3.1496 -5.1024 6.4758
```

=====

4.
DFT (PBE) results for AgRuCl4 after structural relaxation.

Results
Magnetization, μB/cell: 2.0
E above lowest polymorph, eV per atom: 0.0000
Space-group type: C2/m
Density of states at the Fermi level, states/eV per cell: 9.0

```
12
Lattice="-0.6634 -3.3682 -1.2122 5.7347 -0.8210 -6.3246 7.5396 -5.2509 4.9967" Properties=species:S:1:pos:R:3 pbc="T T T"
Ag 5.6884 -4.4545 -4.4033
Cl 9.8825 -5.7249 -3.1695
Cl 7.4385 -3.4499 -2.6845
Ru 2.5356 -2.0946 -3.7684
Cl 5.1723 -5.9902 0.1444
Ag 6.9225 -4.9856 1.8633
Cl 8.0090 -7.3498 2.3698
Cl 4.6018 -2.0903 -4.9099
Cl 9.6972 -5.0672 0.5715
Cl 2.9136 -4.3730 -3.1116
Ru 3.7698 -2.6254 2.4984
Cl 2.7284 -3.7152 0.6294
```

=====

5.
DFT (PBE) results for AgRuCl2 after structural relaxation.

Results
Magnetization, μB/cell: 2.1
E above lowest polymorph, eV per atom: 0.3064
Space-group type: Imm2
Density of states at the Fermi level, states/eV per cell: 3.2

```
4
Lattice="-2.1410 -6.2454 1.3869 2.7753 -6.1467 0.1709 -0.4126 6.5069 1.7328" Properties=species:S:1:pos:R:3 pbc="T T T"
Cl 0.6273 -12.2579 1.5410
Ag 1.3748 -3.6000 1.4271
Ru 0.3204 -6.2598 0.7869
Cl -1.1496 -2.3555 1.8724
```

=====

6.
DFT (PBE) results for AgRuCl2 after structural relaxation.

Results
Magnetization, μB/cell: 0.0
E above lowest polymorph, eV per atom: 0.1152
Space-group type: R-3m
Density of states at the Fermi level, states/eV per cell: 1.8

```
4
Lattice="9.6770 0.0007 0.0004 9.0580 3.4054 0.0004 9.0580 1.6468 2.9807" Properties=species:S:1:pos:R:3 pbc="T T T"
Cl 26.7590 4.8649 2.8706
Ru 6.9483 1.2632 0.7454
Cl 14.9305 2.7144 1.6017
Ag 20.8448 3.7896 2.2362
```